# 1
The following is a PBE calculation of an optimized crystal structure of Ti9ZnS16, from the Alexandria database.

Properties
- DOS(E_F): 13.42 states/eV/f.u.
- Energy: -6.64 eV/atom

Cell: 7.0381 13.9650 12.0241 Å, 90.00 124.97 90.00°
Last column: nearest neighbours and their distance in Å.
Sites, in units of the cell vectors:
Ti: 0.0000 0.0046 0.0000  6 S 2.40-2.50
Ti: 0.0000 0.9954 0.5000  6 S 2.40-2.50
Ti: 0.0029 0.2368 0.5026  6 S 2.36-2.52
Ti: 0.0029 0.7632 0.0026  6 S 2.36-2.52
Ti: 0.0036 0.3660 0.2433  6 S 2.39-2.50
Ti: 0.0036 0.6340 0.7433  6 S 2.39-2.50
Ti: 0.0071 0.2446 0.0064  6 S 2.42-2.48
Ti: 0.0071 0.7554 0.5064  6 S 2.42-2.48
Ti: 0.0116 0.1193 0.7515  6 S 2.43-2.49
Ti: 0.0116 0.8807 0.2515  6 S 2.43-2.49
Ti: 0.0126 0.4841 0.0090  6 S 2.34-2.55
Ti: 0.0126 0.5159 0.5090  6 S 2.34-2.55
Ti: 0.4794 0.3655 0.2400  6 S 2.38-2.51
Ti: 0.4794 0.6345 0.7400  6 S 2.38-2.51
Ti: 0.4932 0.1217 0.7502  6 S 2.41-2.50
Ti: 0.4932 0.8783 0.2502  6 S 2.41-2.50
Ti: 0.9964 0.1258 0.2427  6 S 2.41-2.53
Ti: 0.9964 0.8742 0.7427  6 S 2.41-2.53
Zn: 0.6244 0.3773 0.6223  4 S 2.29-2.32
Zn: 0.6244 0.6227 0.1223  4 S 2.29-2.32
S: 0.2256 0.3742 0.4937  1 Zn 2.30, 3 Ti 2.48-2.55
S: 0.2256 0.6258 0.9937  1 Zn 2.30, 3 Ti 2.48-2.55
S: 0.2443 0.1231 0.9979  3 Ti 2.40-2.43
S: 0.2441 0.3702 0.9963  3 Ti 2.34-2.47
S: 0.2441 0.6298 0.4963  3 Ti 2.34-2.47
S: 0.2443 0.8769 0.4979  3 Ti 2.40-2.43
S: 0.2473 0.2440 0.7461  3 Ti 2.40-2.43
S: 0.2473 0.7560 0.2461  3 Ti 2.40-2.43
S: 0.2505 0.4909 0.2485  3 Ti 2.36-2.44
S: 0.2505 0.5091 0.7485  3 Ti 2.36-2.44
S: 0.2533 0.1209 0.4994  4 Ti 2.41-2.53
S: 0.2533 0.8791 0.9994  4 Ti 2.41-2.53
S: 0.2572 0.0046 0.2523  4 Ti 2.43-2.49
S: 0.2572 0.9954 0.7523  4 Ti 2.43-2.49
S: 0.2618 0.2426 0.2568  4 Ti 2.38-2.47
S: 0.2618 0.7574 0.7568  4 Ti 2.38-2.47
S: 0.7400 0.1237 0.9976  4 Ti 2.42-2.48
S: 0.7400 0.8763 0.4976  4 Ti 2.42-2.48
S: 0.7494 0.2450 0.2481  4 Ti 2.43-2.51
S: 0.7494 0.7550 0.7481  4 Ti 2.43-2.51
S: 0.7518 0.0008 0.2496  4 Ti 2.47-2.50
S: 0.7518 0.9992 0.7496  4 Ti 2.47-2.50
S: 0.7557 0.2400 0.7554  1 Zn 2.32, 3 Ti 2.45-2.49
S: 0.7557 0.4876 0.2562  1 Zn 2.30, 3 Ti 2.50-2.52
S: 0.7557 0.5124 0.7562  1 Zn 2.30, 3 Ti 2.50-2.52
S: 0.7557 0.7600 0.2554  1 Zn 2.32, 3 Ti 2.45-2.49
S: 0.7569 0.3695 0.0006  3 Ti 2.37-2.45
S: 0.7569 0.6305 0.5006  3 Ti 2.37-2.45
S: 0.7607 0.1207 0.5045  3 Ti 2.36-2.45
S: 0.7607 0.8793 0.0045  3 Ti 2.36-2.45
S: 0.7663 0.3752 0.4920  1 Zn 2.29, 3 Ti 2.50-2.55
S: 0.7663 0.6248 0.9920  1 Zn 2.29, 3 Ti 2.50-2.55

=====

# 2
The following is a PBE calculation of an optimized crystal structure of TiZnS, from the Alexandria database.

Properties
- DOS(E_F): 1.50 states/eV/f.u.
- Energy: -5.03 eV/atom

Cell: 8.7232 8.7232 8.7232 Å, 26.52 26.52 26.52°
Last column: nearest neighbours and their distance in Å.
Sites, in units of the cell vectors:
Ti: 0.0648 0.0648 0.0648  3 S 2.49
Ti: 0.9352 0.9352 0.9352  3 S 2.49
Zn: 0.3310 0.3310 0.3310  3 Zn 2.31, 1 S 2.51
Zn: 0.6690 0.6690 0.6690  3 Zn 2.31, 1 S 2.51
S: 0.2314 0.2314 0.2314  3 Ti 2.49, 1 Zn 2.51
S: 0.7686 0.7686 0.7686  3 Ti 2.49, 1 Zn 2.51

=====

# 3
The following is a PBE calculation of an optimized crystal structure of Ti2ZnS5, from the Alexandria database.

Properties
- Energy: -5.63 eV/atom

Cell: 3.7359 14.8609 6.8946 Å, 90.00 90.00 90.00°
Last column: nearest neighbours and their distance in Å.
Sites, in units of the cell vectors:
Ti: 0.2500 0.1029 0.0294  4 S 2.29-2.34
Ti: 0.2500 0.3971 0.0294  4 S 2.29-2.34
Ti: 0.7500 0.6029 0.9706  4 S 2.29-2.34
Ti: 0.7500 0.8971 0.9706  4 S 2.29-2.34
Zn: 0.2500 0.7500 0.6839  4 S 2.47
Zn: 0.7500 0.2500 0.3161  4 S 2.47
S: 0.2500 0.1423 0.3504  1 Ti 2.29, 2 Zn 2.47
S: 0.2500 0.2500 0.9194  2 Ti 2.31
S: 0.2500 0.3577 0.3504  1 Ti 2.29, 2 Zn 2.47
S: 0.2500 0.5606 0.1538  3 Ti 2.34-2.58
S: 0.2500 0.9394 0.1538  3 Ti 2.34-2.58
S: 0.7500 0.0606 0.8462  3 Ti 2.34-2.58
S: 0.7500 0.4394 0.8462  3 Ti 2.34-2.58
S: 0.7500 0.6423 0.6496  1 Ti 2.29, 2 Zn 2.47
S: 0.7500 0.7500 0.0806  2 Ti 2.31
S: 0.7500 0.8577 0.6496  1 Ti 2.29, 2 Zn 2.47

=====

# 4
The following is a PBE calculation of an optimized crystal structure of Ti2ZnS4, from the Alexandria database.

Properties
- DOS(E_F): 5.00 states/eV/f.u.
- Energy: -5.98 eV/atom

Cell: 7.1783 7.1783 7.1783 Å, 60.00 60.00 60.00°
Last column: nearest neighbours and their distance in Å.
Sites, in units of the cell vectors:
Ti: 0.0000 0.0000 0.0000  6 S 2.47
Ti: 0.0000 0.0000 0.5000  6 S 2.47
Ti: 0.0000 0.5000 0.0000  6 S 2.47
Ti: 0.5000 0.0000 0.0000  6 S 2.47
Zn: 0.3750 0.3750 0.3750  4 S 2.31
Zn: 0.6250 0.6250 0.6250  4 S 2.31
S: 0.2307 0.7564 0.7564  1 Zn 2.31, 3 Ti 2.47
S: 0.2436 0.2436 0.2436  1 Zn 2.31, 3 Ti 2.47
S: 0.2436 0.2436 0.7693  1 Zn 2.31, 3 Ti 2.47
S: 0.2436 0.7693 0.2436  1 Zn 2.31, 3 Ti 2.47
S: 0.7564 0.2307 0.7564  1 Zn 2.31, 3 Ti 2.47
S: 0.7564 0.7564 0.2307  1 Zn 2.31, 3 Ti 2.47
S: 0.7564 0.7564 0.7564  1 Zn 2.31, 3 Ti 2.47
S: 0.7693 0.2436 0.2436  1 Zn 2.31, 3 Ti 2.47

=====

# 5
The following is a PBE calculation of an optimized crystal structure of TiZnS3, from the Alexandria database.

Properties
- DOS(E_F): 7.64 states/eV/f.u.
- ΔE to the lowest computed polymorph: 619 meV per atom

Cell: 4.5740 4.5740 4.5740 Å, 90.00 90.00 90.00°
Last column: nearest neighbours and their distance in Å.
Sites, in units of the cell vectors:
Ti: 0.0000 0.0000 0.0000  12 S 3.23
Zn: 0.5000 0.5000 0.5000  6 S 2.29
S: 0.0000 0.5000 0.5000  2 Zn 2.29
S: 0.5000 0.0000 0.5000  2 Zn 2.29
S: 0.5000 0.5000 0.0000  2 Zn 2.29

=====

# 6
The following is a PBE calculation of an optimized crystal structure of TiZnS3, from the Alexandria database.

Properties
- DOS(E_F): 1.99 states/eV/f.u.
- ΔE to the lowest computed polymorph: 0 meV per atom

Cell: 4.6983 4.6983 4.6983 Å, 90.00 90.00 90.00°
Last column: nearest neighbours and their distance in Å.
Sites, in units of the cell vectors:
Ti: 0.0000 0.0000 0.0000  6 S 2.35
Zn: 0.5000 0.5000 0.5000  12 S 3.32
S: 0.0000 0.0000 0.5000  2 Ti 2.35
S: 0.0000 0.5000 0.0000  2 Ti 2.35
S: 0.5000 0.0000 0.0000  2 Ti 2.35

=====

# 7
The following is a PBE calculation of an optimized crystal structure of Ti4Zn2S, from the Alexandria database.

Properties
- DOS(E_F): 6.78 states/eV/f.u.
- Energy: -5.58 eV/atom

Cell: 7.3875 7.3875 7.3875 Å, 145.59 145.59 49.45°
Last column: nearest neighbours and their distance in Å.
Sites, in units of the cell vectors:
Ti: 0.0000 0.5000 0.5000  2 S 2.18
Ti: 0.1735 0.1735 0.0000  1 S 2.33
Ti: 0.5000 0.0000 0.5000  2 S 2.18
Ti: 0.8265 0.8265 0.0000  1 S 2.33
Zn: 0.3707 0.3707 0.0000  5 Ti 2.65-2.79
Zn: 0.6293 0.6293 0.0000  5 Ti 2.65-2.79
S: 0.0000 0.0000 0.0000  6 Ti 2.18-2.33

=====

# 8
The following is a PBE calculation of an optimized crystal structure of Ti2Zn2S, from the Alexandria database.

Properties
- DOS(E_F): 1.56 states/eV/f.u.
- Energy: -4.99 eV/atom

Cell: 6.2456 6.2456 4.2548 Å, 90.00 90.00 90.00°
Last column: nearest neighbours and their distance in Å.
Sites, in units of the cell vectors:
Ti: 0.1622 0.3378 0.0000  2 S 2.34
Ti: 0.3378 0.8378 0.0000  2 S 2.34
Ti: 0.6622 0.1622 0.0000  2 S 2.34
Ti: 0.8378 0.6622 0.0000  2 S 2.34
Zn: 0.1425 0.6425 0.5000  1 Zn 2.52, 2 Ti 2.74
Zn: 0.3575 0.1425 0.5000  1 Zn 2.52, 2 Ti 2.74
Zn: 0.6425 0.8575 0.5000  1 Zn 2.52, 2 Ti 2.74
Zn: 0.8575 0.3575 0.5000  1 Zn 2.52, 2 Ti 2.74
S: 0.0000 0.0000 0.0000  4 Ti 2.34
S: 0.5000 0.5000 0.0000  4 Ti 2.34

=====

# 9
The following is a PBE calculation of an optimized crystal structure of Ti2ZnS4, from the Alexandria database.

Properties
- DOS(E_F): 5.28 states/eV/f.u.
- Energy: -5.86 eV/atom

Cell: 7.0518 7.0518 7.0518 Å, 119.67 118.97 91.18°
Last column: nearest neighbours and their distance in Å.
Sites, in units of the cell vectors:
Ti: 0.0000 0.0000 0.0000  6 S 2.46-2.47
Ti: 0.5000 0.0000 0.0000  6 S 2.48-2.49
Ti: 0.5000 0.0000 0.5000  6 S 2.46-2.47
Ti: 0.5000 0.5000 0.5000  6 S 2.48-2.49
Zn: 0.0000 0.0000 0.5000  6 S 2.46-2.55
Zn: 0.0000 0.5000 0.0000  6 S 2.46-2.55
S: 0.2487 0.2391 0.4904  1 Zn 2.46, 3 Ti 2.47-2.48
S: 0.2487 0.7583 0.0096  1 Zn 2.46, 3 Ti 2.47-2.48
S: 0.2544 0.2491 0.0053  3 Ti 2.46-2.49, 2 Zn 2.55
S: 0.2562 0.7509 0.5053  3 Ti 2.46-2.49, 2 Zn 2.55
S: 0.7438 0.2491 0.4947  3 Ti 2.46-2.49, 2 Zn 2.55
S: 0.7456 0.7509 0.9947  3 Ti 2.46-2.49, 2 Zn 2.55
S: 0.7513 0.2417 0.9904  1 Zn 2.46, 3 Ti 2.47-2.48
S: 0.7513 0.7609 0.5096  1 Zn 2.46, 3 Ti 2.47-2.48

=====

# 10
The following is a PBE calculation of an optimized crystal structure of TiZn2S, from the Alexandria database.

Properties
- DOS(E_F): 3.12 states/eV/f.u.
- ΔE to the lowest computed polymorph: 539 meV per atom

Cell: 4.5937 4.5937 4.5937 Å, 60.00 60.00 60.00°
Last column: nearest neighbours and their distance in Å.
Sites, in units of the cell vectors:
Ti: 0.0000 0.0000 0.0000  8 Zn 2.81
Zn: 0.2500 0.2500 0.2500  4 S 2.81, 4 Ti 2.81
Zn: 0.7500 0.7500 0.7500  4 Ti 2.81, 4 S 2.81
S: 0.5000 0.5000 0.5000  8 Zn 2.81

=====

# 11
The following is a PBE calculation of an optimized crystal structure of TiZn2S, from the Alexandria database.

Properties
- DOS(E_F): 3.45 states/eV/f.u.
- ΔE to the lowest computed polymorph: 0 meV per atom

Cell: 5.7762 5.7762 5.7762 Å, 100.03 100.03 130.67°
Last column: nearest neighbours and their distance in Å.
Sites, in units of the cell vectors:
Ti: 0.0000 0.0000 0.0000  2 S 2.41
Ti: 0.7500 0.2500 0.5000  2 S 2.41
Zn: 0.1590 0.1250 0.5340  2 Zn 2.46, 2 S 2.53
Zn: 0.3750 0.8410 0.9660  2 Zn 2.46, 2 S 2.53
Zn: 0.5910 0.6250 0.4660  2 Zn 2.46, 2 S 2.53
Zn: 0.8750 0.4090 0.0340  2 Zn 2.46, 2 S 2.53
S: 0.2500 0.7500 0.5000  2 Ti 2.41, 4 Zn 2.53
S: 0.5000 0.5000 0.0000  2 Ti 2.41, 4 Zn 2.53

=====

# 12
The following is a PBE calculation of an optimized crystal structure of Zr2Ti2S3, from the Alexandria database.

Properties
- DOS(E_F): 4.16 states/eV/f.u.
- Energy: -7.67 eV/atom

Cell: 6.2709 6.2709 6.1181 Å, 104.80 104.80 31.82°
Last column: nearest neighbours and their distance in Å.
Sites, in units of the cell vectors:
Zr: 0.0877 0.0877 0.2653  4 S 2.60-2.63
Zr: 0.9123 0.9123 0.7347  4 S 2.60-2.63
Ti: 0.3511 0.3511 0.1247  4 S 2.43-2.51
Ti: 0.6489 0.6489 0.8753  4 S 2.43-2.51
S: 0.2494 0.2494 0.7225  3 Ti 2.43-2.44, 2 Zr 2.60
S: 0.5000 0.5000 0.5000  2 Ti 2.51, 4 Zr 2.63
S: 0.7506 0.7506 0.2775  3 Ti 2.43-2.44, 2 Zr 2.60